Entry from Alexandria via LeMat-Bulk: an optimized crystal structure of KSrAu3 (GGA-PBE).

a b c (Å): 5.6473 5.6473 5.6473
angles (deg): 90.00 90.00 90.00
Last column: nearest neighbours and their distance in Å.
Sites, in units of the cell vectors:
K  0.0000  0.0000  0.0000  6 Au 2.82
Sr  0.5000  0.5000  0.5000  12 Au 3.99
Au  0.0000  0.0000  0.5000  2 K 2.82
Au  0.0000  0.5000  0.0000  2 K 2.82
Au  0.5000  0.0000  0.0000  2 K 2.82

## Properties
Total moment   0.00 μB/cell
N(E_F)   0.0 states/eV/cell
Theoretical density   6.616 g cm⁻³
Calculated formation energy   0.1916 eV per atom

Entry from Alexandria via LeMat-Bulk: an optimized crystal structure of KSrAu2 (GGA-PBE).

a b c (Å): 4.1795 4.1795 7.9529
angles (deg): 90.00 90.00 90.00
Last column: nearest neighbours and their distance in Å.
Sites, in units of the cell vectors:
K  0.0000  0.0000  0.0000  5 Au 3.31-3.35
Sr  0.5000  0.5000  0.4348  5 Au 3.01-3.17
Au  0.0000  0.0000  0.5786  4 Sr 3.17, 1 K 3.35, 4 Au 3.49
Au  0.5000  0.5000  0.8130  1 Sr 3.01, 4 K 3.31

## Properties
Total moment   0.00 μB/cell
N(E_F)   2.7 states/eV/cell
Theoretical density   6.223 g cm⁻³
Calculated formation energy   -0.2825 eV per atom

Entry from Alexandria via LeMat-Bulk: an optimized crystal structure of KSr2Au2 (GGA-PBE).

a b c (Å): 7.6107 7.6107 7.6107
angles (deg): 135.47 135.47 64.80
Last column: nearest neighbours and their distance in Å.
Sites, in units of the cell vectors:
K  0.0000  0.0000  0.0000  8 Au 4.32, 10 Sr 4.33-4.58
Sr  0.3370  0.3370  0.0000  4 Au 3.09
Sr  0.6630  0.6630  0.0000  4 Au 3.09
Au  0.2500  0.7500  0.5000  4 Sr 3.09
Au  0.7500  0.2500  0.5000  4 Sr 3.09

## Properties
Total moment   0.00 μB/cell
N(E_F)   2.8 states/eV/cell
Theoretical density   4.726 g cm⁻³
Calculated formation energy   -0.3545 eV per atom

Entry from Alexandria via LeMat-Bulk: an optimized crystal structure of KSrAu (GGA-PBE).

a b c (Å): 4.5473 4.5473 7.5614
angles (deg): 90.00 90.00 120.00
Last column: nearest neighbours and their distance in Å.
Sites, in units of the cell vectors:
K  0.0000  0.0000  0.0000  3 Au 3.37
Sr  0.3333  0.6667  0.5039  3 Au 3.10
Au  0.6667  0.3333  0.7215  3 Sr 3.10, 3 K 3.37

## Properties
Total moment   0.00 μB/cell
N(E_F)   0.9 states/eV/cell
Theoretical density   3.969 g cm⁻³
Calculated formation energy   -0.3346 eV per atom